! KInGe, optimized geometry, DFT PBE-GGA; values from VASP
&SYSTEM
  ibrav = 0, nat = 6, ntyp = 3
/
ATOMIC_SPECIES
K 39.10 K.upf
In 114.82 In.upf
Ge 72.64 Ge.upf
CELL_PARAMETERS angstrom
4.583 0.000 0.000
-2.267 6.127 0.000
-2.269 -1.313 6.723
ATOMIC_POSITIONS crystal
K 0.000 0.000 0.000
K 0.445 0.567 0.318
In 0.279 0.982 0.581
In 0.643 0.415 0.863
Ge 0.143 0.575 0.703
Ge 0.824 0.187 0.466
! ΔH_f (0 K): -6.72 kJ per mole of atoms
! Magnetic moment: 0.00 μB/f.u.
! V: 188.79 Å³ per cell
! Fermi-level density of states: 0.30 states/eV/atom
! E_tot: -2.887 eV/atom